(1)
DFT (GGA-PBE) results for a relaxed GaOsAu2 crystal.

Summary:
VASP energy ... -4.6942 eV/atom
Magnetic moment ... 0.0 Bohr magnetons per cell

Unit cell a=2.7810 b=2.7810 c=31.1280 alpha=90.00 beta=90.00 gamma=120.00
Closest atoms and distances in Å follow each position.
Space group R-3m (No. 166, hexagonal axes)
Unique sites:
Ga1 0.0000 0.0000 0.0000  6 Ga 2.78, 6 Au 2.91
Os1 0.0000 0.0000 0.5000  2 Au 2.76, 6 Os 2.78
Au1 0.0000 0.0000 0.4113  1 Os 2.76, 6 Au 2.78, 3 Ga 2.91

(2)
DFT (GGA-PBE) results for a relaxed TaCrSi2 crystal.

Summary:
VASP energy ... -8.2265 eV/atom
Magnetic moment ... 0.4 Bohr magnetons per cell

Unit cell a=2.8615 b=3.9448 c=5.0550 alpha=90.00 beta=97.99 gamma=90.00
Closest atoms and distances in Å follow each position.
Space group P2/m (No. 10)
Unique sites:
Ta1 0.0000 0.0000 0.0000  8 Si 2.69-2.85, 2 Cr 2.73, 2 Ta 2.86
Cr1 0.5000 0.0000 0.5000  4 Si 2.36
Si1 0.3809 0.5000 0.7391  2 Cr 2.36, 2 Si 2.60-2.63